Record 1
Hf3TeC | PBE | optimized geometry

The calculation puts the energy above the lowest structure with this stoichiometry at 0.00 kJ per mole of atoms. The formation energy from raw total energies is -687 meV per atom.

It has space group Cmcm (No. 63), with a = 3.4781 Å, b = 11.9517 Å, c = 8.8124 Å, α = 90.00°, β = 90.00° and γ = 90.00°. The distinct sites, in fractional coordinates, are Hf at (0.0000, 0.0451, 0.2500), Hf at (0.0000, 0.3783, 0.0528), Te at (0.0000, 0.2600, 0.7500) and C at (0.0000, 0.0000, 0.0000).



Record 2
HfTe2C | PBE | optimized geometry

The formation energy from raw total energies is 915 meV per atom.

It has space group R-3m (No. 166, hexagonal axes), with a = 3.7866 Å, b = 3.7866 Å, c = 23.5099 Å, α = 90.00°, β = 90.00° and γ = 120.00°. The distinct sites, in fractional coordinates, are Hf at (0.0000, 0.0000, 0.0000), Te at (0.0000, 0.0000, 0.4146) and C at (0.0000, 0.0000, 0.5000).



Record 3
HfTeC2 | PBE | optimized geometry

The formation energy from raw total energies is 859 meV per atom.

It has space group I-42d (No. 122), with a = 5.1828 Å, b = 5.1828 Å, c = 10.4975 Å, α = 90.00°, β = 90.00° and γ = 90.00°. The distinct sites, in fractional coordinates, are Hf at (0.0000, 0.0000, 0.0000), Te at (0.0000, 0.0000, 0.5000) and C at (0.2280, 0.2500, 0.1250).



Record 4
Hf3TeC | PBE | optimized geometry

The calculation puts the energy above the lowest structure with this stoichiometry at 45.62 kJ per mole of atoms. The formation energy from raw total energies is -214 meV per atom.

It has space group Pm-3m (No. 221), with a = 4.5458 Å, b = 4.5458 Å, c = 4.5458 Å, α = 90.00°, β = 90.00° and γ = 90.00°. The distinct sites, in fractional coordinates, are Hf at (0.0000, 0.0000, 0.5000), Te at (0.5000, 0.5000, 0.5000) and C at (0.0000, 0.0000, 0.0000).



Record 5
Hf4Te5C | PBE | optimized geometry

The formation energy from raw total energies is -769 meV per atom.

It has space group C2/m (No. 12), with a = 17.3740 Å, b = 3.6786 Å, c = 7.9230 Å, α = 90.00°, β = 102.07° and γ = 90.00°. The distinct sites, in fractional coordinates, are Hf at (0.0016, 0.0000, 0.3015), Hf at (0.1339, 0.5000, 0.5647), Te at (0.0000, 0.5000, 0.0000), Te at (0.1645, 0.0000, 0.8437), Te at (0.1710, 0.0000, 0.3159) and C at (0.0000, 0.5000, 0.5000).



Record 6
HfTe2C | PBE | optimized geometry

The formation energy from raw total energies is 1189 meV per atom.

It has space group R-3m (No. 166, hexagonal axes), with a = 3.4023 Å, b = 3.4023 Å, c = 26.0959 Å, α = 90.00°, β = 90.00° and γ = 120.00°. The distinct sites, in fractional coordinates, are Hf at (0.0000, 0.0000, 0.0000), Te at (0.0000, 0.0000, 0.1082) and C at (0.0000, 0.0000, 0.5000).



| no. | density of states at the Fermi level (states/eV per cell) |
| --- | --- |
| 1 | 6.011 |
| 2 | 7.301 |
| 3 | 5.327 |
| 4 | 5.647 |
| 5 | 10.806 |
| 6 | 10.161 |